(1)
## Ba6Sm3AlCu8O20 (meta-GGA SCAN)

Data for Ba6Sm3AlCu8O20 at its PBEsol-relaxed geometry.

a = 5.467 Å, b = 8.571 Å, c = 12.381 Å
α = 74.10°, β = 77.57°, γ = 72.84°
Sites, in units of the cell vectors:
Ba 0.063 0.063 0.310
Ba 0.260 0.267 0.692
Ba 0.387 0.395 0.309
Ba 0.613 0.605 0.691
Ba 0.740 0.733 0.308
Ba 0.937 0.937 0.690
Sm 0.166 0.166 0.001
Sm 0.500 0.500 0.000
Sm 0.834 0.834 0.999
Al 0.500 0.000 0.500
Cu 0.050 0.547 0.858
Cu 0.138 0.686 0.500
Cu 0.288 0.786 0.141
Cu 0.381 0.881 0.858
Cu 0.619 0.119 0.142
Cu 0.712 0.214 0.859
Cu 0.862 0.314 0.500
Cu 0.950 0.453 0.142
O 0.041 0.043 0.873
O 0.125 0.625 0.125
O 0.145 0.608 0.652
O 0.194 0.162 0.500
O 0.209 0.708 0.876
O 0.246 0.710 0.348
O 0.289 0.292 0.128
O 0.375 0.374 0.875
O 0.449 0.949 0.653
O 0.459 0.959 0.124
O 0.541 0.041 0.876
O 0.551 0.051 0.347
O 0.625 0.626 0.125
O 0.711 0.708 0.872
O 0.754 0.290 0.652
O 0.791 0.292 0.124
O 0.806 0.838 0.500
O 0.855 0.392 0.348
O 0.875 0.375 0.875
O 0.959 0.957 0.127

Results
- symmetry = P-1 (2)
- crystal system = triclinic

---

(2)
## Ba6Dy2Al4O15 (meta-GGA SCAN)

Data for Ba6Dy2Al4O15 at its PBEsol-relaxed geometry.

a = 14.656 Å, b = 5.861 Å, c = 5.861 Å
α = 60.31°, β = 90.00°, γ = 90.00°
Sites, in units of the cell vectors:
Ba 0.000 0.000 0.000
Ba 0.154 0.316 0.316
Ba 0.327 0.630 0.630
Ba 0.500 0.941 0.941
Ba 0.673 0.630 0.630
Ba 0.846 0.316 0.316
Dy 0.250 0.970 0.970
Dy 0.750 0.970 0.970
Al 0.112 0.648 0.648
Al 0.387 0.296 0.296
Al 0.613 0.296 0.296
Al 0.888 0.648 0.648
O 0.000 0.245 0.245
O 0.000 0.589 0.589
O 0.143 0.816 0.816
O 0.174 0.344 0.812
O 0.174 0.812 0.344
O 0.337 0.113 0.610
O 0.337 0.610 0.113
O 0.372 0.123 0.123
O 0.500 0.358 0.358
O 0.628 0.123 0.123
O 0.663 0.113 0.610
O 0.663 0.610 0.113
O 0.826 0.344 0.812
O 0.826 0.812 0.344
O 0.857 0.816 0.816

Results
- symmetry = Amm2 (38)
- distance to the lowest polymorph of the same formula (meV per atom) = 39.9
- crystal system = orthorhombic

---

(3)
## Ba6Dy2Al4O15 (meta-GGA SCAN)

Data for Ba6Dy2Al4O15 at its PBEsol-relaxed geometry.

a = 7.827 Å, b = 5.892 Å, c = 18.299 Å
α = 90.00°, β = 91.61°, γ = 90.00°
Sites, in units of the cell vectors:
Ba 0.000 0.176 0.250
Ba 0.000 0.824 0.750
Ba 0.001 0.255 0.919
Ba 0.001 0.745 0.419
Ba 0.472 0.248 0.910
Ba 0.472 0.752 0.410
Ba 0.500 0.226 0.250
Ba 0.500 0.774 0.750
Ba 0.528 0.248 0.590
Ba 0.528 0.752 0.090
Ba 0.999 0.255 0.581
Ba 0.999 0.745 0.081
Dy 0.253 0.249 0.090
Dy 0.253 0.751 0.590
Dy 0.747 0.249 0.410
Dy 0.747 0.751 0.910
Al 0.253 0.247 0.443
Al 0.253 0.753 0.943
Al 0.278 0.268 0.732
Al 0.278 0.732 0.232
Al 0.722 0.268 0.768
Al 0.722 0.732 0.268
Al 0.747 0.247 0.057
Al 0.747 0.753 0.557
O 0.038 0.254 0.408
O 0.038 0.746 0.908
O 0.192 0.174 0.814
O 0.192 0.826 0.314
O 0.227 0.472 0.189
O 0.227 0.528 0.689
O 0.255 0.048 0.666
O 0.255 0.952 0.166
O 0.264 0.484 0.505
O 0.264 0.516 0.005
O 0.265 0.003 0.998
O 0.265 0.997 0.498
O 0.446 0.263 0.393
O 0.446 0.737 0.893
O 0.500 0.293 0.750
O 0.500 0.707 0.250
O 0.554 0.263 0.107
O 0.554 0.737 0.607
O 0.735 0.003 0.502
O 0.735 0.997 0.002
O 0.736 0.484 0.995
O 0.736 0.516 0.495
O 0.745 0.048 0.834
O 0.745 0.952 0.334
O 0.773 0.472 0.311
O 0.773 0.528 0.811
O 0.808 0.174 0.686
O 0.808 0.826 0.186
O 0.962 0.254 0.092
O 0.962 0.746 0.592

Results
- symmetry = P2/c (13)
- distance to the lowest polymorph of the same formula (meV per atom) = 0.0
- crystal system = monoclinic

---

(4)
## Ba5Er2ZrAl2O13 (meta-GGA SCAN)

Data for Ba5Er2ZrAl2O13 at its PBEsol-relaxed geometry.

a = 5.934 Å, b = 5.934 Å, c = 24.888 Å
α = 90.00°, β = 90.00°, γ = 120.00°
Sites, in units of the cell vectors:
Ba 0.000 0.000 0.137
Ba 0.000 0.000 0.363
Ba 0.000 0.000 0.637
Ba 0.000 0.000 0.863
Ba 0.333 0.667 0.041
Ba 0.333 0.667 0.459
Ba 0.333 0.667 0.750
Ba 0.667 0.333 0.250
Ba 0.667 0.333 0.541
Ba 0.667 0.333 0.959
Er 0.333 0.667 0.604
Er 0.333 0.667 0.896
Er 0.667 0.333 0.104
Er 0.667 0.333 0.396
Zr 0.000 0.000 0.000
Zr 0.000 0.000 0.500
Al 0.333 0.667 0.181
Al 0.333 0.667 0.319
Al 0.667 0.333 0.681
Al 0.667 0.333 0.819
O 0.008 0.504 0.158
O 0.008 0.504 0.342
O 0.163 0.326 0.550
O 0.163 0.326 0.950
O 0.163 0.837 0.550
O 0.163 0.837 0.950
O 0.326 0.163 0.050
O 0.326 0.163 0.450
O 0.333 0.667 0.250
O 0.496 0.504 0.158
O 0.496 0.504 0.342
O 0.496 0.992 0.158
O 0.496 0.992 0.342
O 0.504 0.008 0.658
O 0.504 0.008 0.842
O 0.504 0.496 0.658
O 0.504 0.496 0.842
O 0.667 0.333 0.750
O 0.674 0.837 0.550
O 0.674 0.837 0.950
O 0.837 0.163 0.050
O 0.837 0.163 0.450
O 0.837 0.674 0.050
O 0.837 0.674 0.450
O 0.992 0.496 0.658
O 0.992 0.496 0.842

Results
- symmetry = P6_3/mmc (194)
- crystal system = hexagonal

---

(5)
## BaAlF5 (meta-GGA SCAN)

Data for BaAlF5 at its PBEsol-relaxed geometry.

a = 4.921 Å, b = 5.585 Å, c = 13.692 Å
α = 90.00°, β = 90.00°, γ = 90.00°
Sites, in units of the cell vectors:
Ba 0.226 0.158 0.343
Ba 0.274 0.842 0.843
Ba 0.726 0.342 0.657
Ba 0.774 0.658 0.157
Al 0.186 0.151 0.085
Al 0.314 0.849 0.585
Al 0.686 0.349 0.915
Al 0.814 0.651 0.415
F 0.026 0.842 0.498
F 0.061 0.895 0.022
F 0.096 0.648 0.329
F 0.136 0.042 0.669
F 0.199 0.587 0.647
F 0.301 0.413 0.147
F 0.364 0.958 0.169
F 0.404 0.352 0.829
F 0.439 0.105 0.522
F 0.474 0.158 0.998
F 0.526 0.658 0.502
F 0.561 0.605 0.978
F 0.596 0.852 0.671
F 0.636 0.458 0.331
F 0.699 0.913 0.353
F 0.801 0.087 0.853
F 0.864 0.542 0.831
F 0.904 0.148 0.171
F 0.939 0.395 0.478
F 0.974 0.342 0.002

Results
- symmetry = P2_12_12_1 (19)
- distance to the lowest polymorph of the same formula (meV per atom) = 0.0
- crystal system = orthorhombic

---

(6)
## BaAlF5 (meta-GGA SCAN)

Data for BaAlF5 at its PBEsol-relaxed geometry.

a = 5.241 Å, b = 9.679 Å, c = 7.375 Å
α = 90.00°, β = 91.14°, γ = 90.00°
Sites, in units of the cell vectors:
Ba 0.014 0.000 0.386
Ba 0.483 0.344 0.141
Ba 0.517 0.844 0.859
Ba 0.986 0.500 0.614
Al 0.020 0.629 0.075
Al 0.471 0.233 0.630
Al 0.529 0.733 0.370
Al 0.980 0.129 0.925
F 0.015 0.757 0.900
F 0.055 0.513 0.260
F 0.195 0.245 0.794
F 0.232 0.529 0.941
F 0.244 0.251 0.446
F 0.250 0.047 0.030
F 0.275 0.732 0.529
F 0.302 0.727 0.172
F 0.432 0.052 0.637
F 0.489 0.416 0.656
F 0.511 0.916 0.344
F 0.568 0.552 0.363
F 0.698 0.227 0.828
F 0.725 0.232 0.471
F 0.750 0.547 0.970
F 0.756 0.751 0.554
F 0.768 0.029 0.059
F 0.805 0.745 0.206
F 0.945 0.013 0.740
F 0.985 0.257 0.100

Results
- symmetry = P2_1 (4)
- distance to the lowest polymorph of the same formula (meV per atom) = 7.0
- crystal system = monoclinic

---

Record-wise formation energy (no corrections) values, in eV/atom: -2.19 -3.30 -3.34 -3.44 -4.02 -4.01
Record-wise V values, in A^3/atom: 13.879 16.202 15.622 16.502 13.440 13.361
Record-wise theoretical density values, in Mg/m³: 6.71 5.68 5.89 6.01 4.58 4.60